Density functional theory data (GGA+U) for AlWN2F after structural relaxation.

Computed properties:
Magnetic moment ... 2.0 μB per formula unit
SG ... P4/mmm, No. 123
Energy above the most stable polymorph in this dataset ... 0 meV/atom
E_tot ... -6.28 eV/atom

POSCAR file:
```
AlWN2F
1.0
3.891 0.000 0.000
0.000 3.891 0.000
0.000 0.000 3.383
Al W N F
1 1 2 1
Direct
0.000 0.000 0.000
0.500 0.500 0.500
0.000 0.500 0.000
0.500 0.000 0.000
0.000 0.000 0.500
```